Entry 1:
# Tm2TePt PBE optimized geometry
data_Tm2TePt
_chemical_formula_sum 'Tm2 Te1 Pt1'
_space_group_name_H-M_alt 'P 1'
_space_group_IT_number 1
_space_group_name_Hall 'P 1'
_cell_length_a 4.1010
_cell_length_b 4.1010
_cell_length_c 7.6055
_cell_angle_alpha 74.36
_cell_angle_beta 74.36
_cell_angle_gamma 60.00
loop_
_atom_site_label
_atom_site_fract_x
_atom_site_fract_y
_atom_site_fract_z
_atom_site_occupancy
Pt1 0.0000 0.0000 0.0000 1
Tm1 0.2632 0.2632 0.2103 1
Tm2 0.7368 0.7368 0.7897 1
Te1 0.5000 0.5000 0.5000 1
# Space group: R-3m (166)
# Formation energy from raw total energies: -1.2667 eV per atom

=====

Entry 2:
# LiCoN2 PBE optimized geometry
data_LiCoN2
_chemical_formula_sum 'Li1 Co1 N2'
_space_group_name_H-M_alt 'P 1'
_space_group_IT_number 1
_space_group_name_Hall 'P 1'
_cell_length_a 5.3055
_cell_length_b 5.3055
_cell_length_c 5.3055
_cell_angle_alpha 35.22
_cell_angle_beta 35.22
_cell_angle_gamma 35.22
loop_
_atom_site_label
_atom_site_fract_x
_atom_site_fract_y
_atom_site_fract_z
_atom_site_occupancy
N1 0.8895 0.8895 0.8895 1
N2 0.1105 0.1105 0.1105 1
Co1 0.0000 0.0000 0.0000 1
Li1 0.5000 0.5000 0.5000 1
# Space group: R-3m (166)
# Formation energy from raw total energies: 1.0240 eV per atom

=====

Entry 3:
# ScVSb2Te PBE optimized geometry
data_ScVSb2Te
_chemical_formula_sum 'Sc1 V1 Sb2 Te1'
_space_group_name_H-M_alt 'P 1'
_space_group_IT_number 1
_space_group_name_Hall 'P 1'
_cell_length_a 5.7787
_cell_length_b 4.9017
_cell_length_c 5.7787
_cell_angle_alpha 90.00
_cell_angle_beta 90.00
_cell_angle_gamma 90.00
loop_
_atom_site_label
_atom_site_fract_x
_atom_site_fract_y
_atom_site_fract_z
_atom_site_occupancy
Sc1 0.5000 0.5000 0.5000 1
V1 0.0000 0.5000 0.0000 1
Sb1 0.5000 0.0000 0.0000 1
Sb2 0.0000 0.0000 0.5000 1
Te1 0.0000 0.0000 0.0000 1
# Space group: P4/mmm (123)
# Formation energy from raw total energies: 0.7956 eV per atom

=====

Entry 4:
# PmDy2CrN4 PBE optimized geometry
data_PmDy2CrN4
_chemical_formula_sum 'Pm2 Dy4 Cr2 N8'
_space_group_name_H-M_alt 'P 1'
_space_group_IT_number 1
_space_group_name_Hall 'P 1'
_cell_length_a 3.4024
_cell_length_b 6.0175
_cell_length_c 11.6305
_cell_angle_alpha 90.00
_cell_angle_beta 90.00
_cell_angle_gamma 106.42
loop_
_atom_site_label
_atom_site_fract_x
_atom_site_fract_y
_atom_site_fract_z
_atom_site_occupancy
N1 0.2655 0.5311 0.3715 1
N2 0.0000 0.0000 0.5000 1
N3 0.2655 0.5311 0.1285 1
N4 0.7345 0.4689 0.8715 1
N5 0.0000 0.0000 0.0000 1
N6 0.4240 0.8479 0.7500 1
N7 0.7345 0.4689 0.6285 1
N8 0.5760 0.1521 0.2500 1
Cr1 0.1655 0.3311 0.2500 1
Cr2 0.8345 0.6689 0.7500 1
Pm1 0.0981 0.1963 0.7500 1
Pm2 0.9019 0.8037 0.2500 1
Dy1 0.3691 0.7382 0.5432 1
Dy2 0.6309 0.2618 0.4568 1
Dy3 0.6309 0.2618 0.0432 1
Dy4 0.3691 0.7382 0.9568 1
# Space group: Cmcm (63)
# Formation energy from raw total energies: -1.2399 eV per atom

=====

Entry 5:
# LiSmGdSi PBE optimized geometry
data_LiSmGdSi
_chemical_formula_sum 'Li1 Sm1 Gd1 Si1'
_space_group_name_H-M_alt 'P 1'
_space_group_IT_number 1
_space_group_name_Hall 'P 1'
_cell_length_a 5.0470
_cell_length_b 5.0470
_cell_length_c 5.0470
_cell_angle_alpha 60.00
_cell_angle_beta 60.00
_cell_angle_gamma 60.00
loop_
_atom_site_label
_atom_site_fract_x
_atom_site_fract_y
_atom_site_fract_z
_atom_site_occupancy
Si1 0.7500 0.7500 0.7500 1
Gd1 0.0000 0.0000 0.0000 1
Sm1 0.5000 0.5000 0.5000 1
Li1 0.2500 0.2500 0.2500 1
# Space group: F-43m (216)
# Formation energy from raw total energies: -0.3538 eV per atom

=====

Entry 6:
# Ba2BeIn PBE optimized geometry
data_Ba2BeIn
_chemical_formula_sum 'Ba2 Be1 In1'
_space_group_name_H-M_alt 'P 1'
_space_group_IT_number 1
_space_group_name_Hall 'P 1'
_cell_length_a 3.8481
_cell_length_b 3.8481
_cell_length_c 9.9260
_cell_angle_alpha 90.00
_cell_angle_beta 90.00
_cell_angle_gamma 80.65
loop_
_atom_site_label
_atom_site_fract_x
_atom_site_fract_y
_atom_site_fract_z
_atom_site_occupancy
In1 0.5000 0.5000 0.6752 1
Ba1 0.0000 0.0000 0.9295 1
Ba2 0.5000 0.5000 0.3303 1
Be1 0.0000 0.0000 0.5650 1
# Space group: Cmm2 (35)
# Calculated formation energy: 0.252 eV per atom

=====

Number 1: magnetic moment 0.0 μB per cell. Number 2: magnetic moment 0.0 μB per cell. Number 3: magnetic moment 3.4 μB per cell. Number 4: magnetic moment 3.5 μB per cell. Number 5: magnetic moment 7.3 μB per cell. Number 6: magnetic moment 0.0 μB per cell.